Record 1
A plane-wave DFT calculation with PBE was carried out for crystalline HfPd3Se at its relaxed geometry.

a = 4.896 Å, b = 4.896 Å, c = 4.896 Å
α = 90.00°, β = 90.00°, γ = 90.00°
Space group Pm-3m (No. 221)
One atom of each set of equivalent atoms:
Hf (0.000, 0.000, 0.000) x1
Pd (0.000, 0.000, 0.500) x3
Se (0.500, 0.500, 0.500) x1

Summary:
VASP energy (eV per cell): -26.0
Energy above the lowest structure with this stoichiometry (kJ/mol of atoms): 41.6
Raw formation energy (meV per atom): 610



Record 2
A plane-wave DFT calculation with PBE was carried out for crystalline Hf2Pd4Se at its relaxed geometry.

a = 4.486 Å, b = 4.486 Å, c = 14.738 Å
α = 90.00°, β = 90.00°, γ = 90.00°
Space group I4/mmm (No. 139)
One atom of each set of equivalent atoms:
Hf (0.000, 0.000, 0.161) x4
Pd (0.000, 0.000, 0.330) x4
Pd (0.000, 0.500, 0.000) x4
Se (0.000, 0.000, 0.500) x2

Summary:
VASP energy (eV per cell): -86.3
Raw formation energy (meV per atom): 148



Record 3
A plane-wave DFT calculation with PBE was carried out for crystalline HfPdSe2 at its relaxed geometry.

a = 5.852 Å, b = 5.852 Å, c = 11.936 Å
α = 90.00°, β = 90.00°, γ = 90.00°
Space group I-42d (No. 122)
One atom of each set of equivalent atoms:
Hf (0.000, 0.000, 0.000) x4
Pd (0.000, 0.000, 0.500) x4
Se (0.249, 0.250, 0.625) x8

Summary:
VASP energy (eV per cell): -98.7
Energy above the lowest structure with this stoichiometry (kJ/mol of atoms): 9.7
Raw formation energy (meV per atom): -643